Record 1
Compound: TbThSb2
Source: Alexandria
Functional: PBE
Structure: optimized geometry

Calculated values
**Distance to the lowest polymorph of the same formula**: 2.45 kcal/mol of atoms
**Calculated total energy**: -0.22051 hartree per atom
**ΔE_f (raw)**: -0.927 eV/atom

Cell and atoms, written as CIF:
```
data_TbThSb2
_cell_length_a 4.3993
_cell_length_b 4.3993
_cell_length_c 22.8223
_cell_angle_alpha 90.00
_cell_angle_beta 90.00
_cell_angle_gamma 120.00
_symmetry_space_group_name_H-M 'R 3 m'
_symmetry_Int_Tables_number 160
_symmetry_space_group_name_Hall 'R 3 -2"'
loop_
_atom_site_label
_atom_site_fract_x
_atom_site_fract_y
_atom_site_fract_z
Tb1 0.0000 0.0000 0.0000
Th1 0.0000 0.0000 0.1729
Sb1 0.0000 0.0000 0.5881
Sb2 0.0000 0.0000 0.7525
```

Record 2
Compound: TaBeTc
Source: Alexandria
Functional: PBE
Structure: optimized geometry

Calculated values
**Distance to the lowest polymorph of the same formula**: 13.24 kcal/mol of atoms
**Calculated total energy**: -0.30913 hartree per atom
**Formation enthalpy at 0 K**: 0.236 eV/atom

Cell and atoms, written as CIF:
```
data_TaBeTc
_cell_length_a 5.6035
_cell_length_b 5.6035
_cell_length_c 5.6035
_cell_angle_alpha 90.00
_cell_angle_beta 90.00
_cell_angle_gamma 90.00
_symmetry_space_group_name_H-M 'F -4 3 m'
_symmetry_Int_Tables_number 216
_symmetry_space_group_name_Hall 'F -4 2 3'
loop_
_atom_site_label
_atom_site_fract_x
_atom_site_fract_y
_atom_site_fract_z
Ta1 0.0000 0.0000 0.0000
Be1 0.2500 0.2500 0.7500
Tc1 0.0000 0.0000 0.5000
```

Record 3
Compound: Pm4Sm3Dy5
Source: Alexandria
Functional: PBE
Structure: optimized geometry

Calculated values
**Distance to the lowest polymorph of the same formula**: 4.75 kcal/mol of atoms
**Calculated total energy**: -0.16393 hartree per atom
**Formation enthalpy at 0 K**: 0.220 eV/atom

Cell and atoms, written as CIF:
```
data_Pm4Sm3Dy5
_cell_length_a 16.1367
_cell_length_b 5.9654
_cell_length_c 9.3642
_cell_angle_alpha 90.00
_cell_angle_beta 116.15
_cell_angle_gamma 90.00
_symmetry_space_group_name_H-M 'C 1 2/m 1'
_symmetry_Int_Tables_number 12
loop_
_symmetry_equiv_pos_as_xyz
'x,y,z'
'-x,-y,-z'
'-x,y,-z'
'x,-y,z'
'x+1/2,y+1/2,z'
'-x+1/2,-y+1/2,-z'
'-x+1/2,y+1/2,-z'
'x+1/2,-y+1/2,z'
loop_
_atom_site_label
_atom_site_fract_x
_atom_site_fract_y
_atom_site_fract_z
Pm1 0.0834 0.0000 0.4442
Pm2 0.2118 0.0000 0.8809
Sm1 0.0000 0.5000 0.0000
Sm2 0.2095 0.0000 0.2321
Dy1 0.0000 0.0000 0.0000
Dy2 0.0721 0.5000 0.6984
Dy3 0.1722 0.5000 0.3875
```

Which formula does entry 2 have? TaBeTc

calculated total energy of number 3 (Pm4Sm3Dy5)? -0.16393 hartree per atom

Which of these has the highest distance to the lowest polymorph of the same formula? TaBeTc